No. 1
First-principles (PBE) data for AlTePtN2 after structural relaxation, as listed in Alexandria.

a b c (Å): 3.8129 3.8129 8.4875
angles (deg): 90.00 90.00 90.00
With the nearest neighbours (Å) after each atom.
Space group P4/mmm (No. 123)
Symmetry-distinct sites (fractional):
1 Al 0.0000 0.0000 0.0000 [1 per cell]  4 Te 2.70
2 Te 0.5000 0.5000 0.0000 [1 per cell]  4 Al 2.70
3 Pt 0.5000 0.5000 0.5000 [1 per cell]  4 N 1.91
4 N 0.0000 0.5000 0.5000 [2 per cell]  2 Pt 1.91

Relative energy among the computed polymorphs, meV/atom: 178
Total magnetic moment, μB/cell: 0.0


No. 2
First-principles (PBE) data for AlTePtN2 after structural relaxation, as listed in Alexandria.

a b c (Å): 3.7153 3.7153 6.9387
angles (deg): 90.00 90.00 90.00
With the nearest neighbours (Å) after each atom.
Space group P4/mmm (No. 123)
Symmetry-distinct sites (fractional):
1 Al 0.0000 0.0000 0.0000 [1 per cell]  4 N 1.86
2 Te 0.0000 0.0000 0.5000 [1 per cell]  4 Pt 2.63
3 Pt 0.5000 0.5000 0.5000 [1 per cell]  4 Te 2.63
4 N 0.0000 0.5000 0.0000 [2 per cell]  2 Al 1.86

Relative energy among the computed polymorphs, meV/atom: 0
Total magnetic moment, μB/cell: 1.2


No. 3
First-principles (PBE) data for AlTe2PtN after structural relaxation, as listed in Alexandria.

a b c (Å): 5.4830 5.4830 3.3936
angles (deg): 90.00 90.00 90.00
With the nearest neighbours (Å) after each atom.
Space group P4/mmm (No. 123)
Symmetry-distinct sites (fractional):
1 Al 0.0000 0.0000 0.0000 [1 per cell]  2 N 1.70
2 Te 0.0000 0.5000 0.0000 [2 per cell]  2 Al 2.74
3 Pt 0.5000 0.5000 0.5000 [1 per cell]  8 Te 3.22, 2 Pt 3.39
4 N 0.0000 0.0000 0.5000 [1 per cell]  2 Al 1.70

Relative energy among the computed polymorphs, meV/atom: 0
Total magnetic moment, μB/cell: 0.0


What is the formula in the first record?
AlTePtN2


Which formula does entry 3 have?
AlTe2PtN